No. 1
Density functional theory data (meta-GGA SCAN) for a PBEsol-optimized structure of KNaSi2Bi.

CIF file:
```
data_KNaSi2Bi
_space_group_name_H-M_alt 'P 4/m m m'
_space_group_IT_number 123
_space_group_name_Hall '-P 4 2'
_cell_length_a 5.4593
_cell_length_b 5.4593
_cell_length_c 5.7050
_cell_angle_alpha 90.00
_cell_angle_beta 90.00
_cell_angle_gamma 90.00
loop_
_atom_site_label
_atom_site_type_symbol
_atom_site_fract_x
_atom_site_fract_y
_atom_site_fract_z
_atom_site_occupancy
K1 K 0.0000 0.0000 0.0000 1
Na1 Na 0.5000 0.5000 0.0000 1
Si1 Si 0.0000 0.5000 0.5000 1
Bi1 Bi 0.5000 0.5000 0.5000 1
```

Raw total energy = -0.79169 hartree per atom
E_form (uncorrected) = 0.688 eV/atom



No. 2
Density functional theory data (meta-GGA SCAN) for a PBEsol-optimized structure of KNb2BiO.

CIF file:
```
data_KNb2BiO
_space_group_name_H-M_alt 'P 4/m m m'
_space_group_IT_number 123
_space_group_name_Hall '-P 4 2'
_cell_length_a 4.9974
_cell_length_b 4.9974
_cell_length_c 4.1684
_cell_angle_alpha 90.00
_cell_angle_beta 90.00
_cell_angle_gamma 90.00
loop_
_atom_site_label
_atom_site_type_symbol
_atom_site_fract_x
_atom_site_fract_y
_atom_site_fract_z
_atom_site_occupancy
K1 K 0.0000 0.0000 0.0000 1
Nb1 Nb 0.0000 0.5000 0.0000 1
Bi1 Bi 0.5000 0.5000 0.5000 1
O1 O 0.0000 0.0000 0.5000 1
```

Raw total energy = -1.10619 hartree per atom
E_form (uncorrected) = 1.779 eV/atom



No. 3
Density functional theory data (meta-GGA SCAN) for a PBEsol-optimized structure of KNi2BiO.

CIF file:
```
data_KNi2BiO
_space_group_name_H-M_alt 'P 4/m m m'
_space_group_IT_number 123
_space_group_name_Hall '-P 4 2'
_cell_length_a 4.4074
_cell_length_b 4.4074
_cell_length_c 4.5109
_cell_angle_alpha 90.00
_cell_angle_beta 90.00
_cell_angle_gamma 90.00
loop_
_atom_site_label
_atom_site_type_symbol
_atom_site_fract_x
_atom_site_fract_y
_atom_site_fract_z
_atom_site_occupancy
K1 K 0.0000 0.0000 0.0000 1
Ni1 Ni 0.0000 0.5000 0.0000 1
Bi1 Bi 0.5000 0.5000 0.5000 1
O1 O 0.0000 0.0000 0.5000 1
```

Raw total energy = -0.87016 hartree per atom
E_form (uncorrected) = 1.419 eV/atom



No. 4
Density functional theory data (meta-GGA SCAN) for a PBEsol-optimized structure of K3BiO3.

CIF file:
```
data_K3BiO3
_space_group_name_H-M_alt 'I -4 3 m'
_space_group_IT_number 217
_space_group_name_Hall 'I -4 2 3'
_cell_length_a 10.6663
_cell_length_b 10.6663
_cell_length_c 10.6663
_cell_angle_alpha 90.00
_cell_angle_beta 90.00
_cell_angle_gamma 90.00
loop_
_atom_site_label
_atom_site_type_symbol
_atom_site_fract_x
_atom_site_fract_y
_atom_site_fract_z
_atom_site_occupancy
K1 K 0.1056 0.3774 0.3774 1
Bi1 Bi 0.1468 0.1468 0.1468 1
O1 O 0.1305 0.1305 0.3420 1
```

Raw total energy = -0.69609 hartree per atom
E_form (uncorrected) = -1.476 eV/atom